The following is a DFT calculation (GGA-PBE) of crystalline Nd4Pu3ScS8 at its relaxed geometry.

Properties
Symmetry   R-3m, No. 166
Energy relative to the elements, uncorrected   -1911 meV/atom
Density   7.49 g/cm³

Cell lengths 7.9318, 7.9908, 7.9319 Å; angles 119.76, 120.00, 90.00 degrees
Closest atoms and distances in Å follow each position.
Atoms (fractional coordinates):
Nd  0.5000  0.0000  0.0000  6 S 2.92
Nd  0.5000  0.0000  0.5000  6 S 2.86
Nd  0.0000  0.0000  0.0000  6 S 2.86
Nd  0.0000  0.0000  0.5000  6 S 2.86
Pu  0.5000  0.5000  0.0000  6 S 2.77-2.78
Pu  0.5000  0.5000  0.5000  6 S 2.77-2.78
Pu  0.0000  0.5000  0.5000  6 S 2.77-2.78
Sc  0.0000  0.5000  0.0000  6 S 2.71
S  0.2404  0.7334  0.9930  1 Sc 2.71, 2 Pu 2.78, 3 Nd 2.86-2.92
S  0.2404  0.7334  0.4808  1 Sc 2.71, 2 Pu 2.78, 3 Nd 2.86-2.92
S  0.2538  0.2613  0.5075  3 Pu 2.77, 3 Nd 2.86
S  0.7527  0.7334  0.9930  1 Sc 2.71, 2 Pu 2.78, 3 Nd 2.86-2.92
S  0.2473  0.2666  0.0070  1 Sc 2.71, 2 Pu 2.78, 3 Nd 2.86-2.92
S  0.7462  0.7387  0.4925  3 Pu 2.77, 3 Nd 2.86
S  0.7596  0.2666  0.5192  1 Sc 2.71, 2 Pu 2.78, 3 Nd 2.86-2.92
S  0.7596  0.2666  0.0070  1 Sc 2.71, 2 Pu 2.78, 3 Nd 2.86-2.92


The following is a DFT calculation (GGA-PBE) of crystalline Nd2PuScS4 at its relaxed geometry.

Properties
Symmetry   P2/m, No. 10
Energy relative to the elements, uncorrected   -1912 meV/atom
Density   6.73 g/cm³

Cell lengths 3.9224, 6.8178, 6.8905 Å; angles 109.01, 90.00, 90.00 degrees
Closest atoms and distances in Å follow each position.
Atoms (fractional coordinates):
Nd  0.5000  0.0000  0.5000  6 S 2.83-2.84
Nd  0.0000  0.5000  0.5000  6 S 2.90-2.91
Pu  0.5000  0.5000  0.0000  6 S 2.75
Sc  0.0000  0.0000  0.0000  6 S 2.68
S  0.5000  0.2338  0.2270  2 Sc 2.68, 1 Pu 2.75, 3 Nd 2.83-2.91
S  0.5000  0.7662  0.7730  2 Sc 2.68, 1 Pu 2.75, 3 Nd 2.83-2.91
S  0.0000  0.2476  0.7671  1 Sc 2.68, 2 Pu 2.75, 3 Nd 2.84-2.90
S  0.0000  0.7524  0.2329  1 Sc 2.68, 2 Pu 2.75, 3 Nd 2.84-2.90


The following is a DFT calculation (GGA-PBE) of crystalline NdPuSeS at its relaxed geometry.

Properties
Symmetry   R3m, No. 160
Energy relative to the elements, uncorrected   -1805 meV/atom
Density   8.50 g/cm³

Cell lengths 4.0777, 4.0777, 7.1685 Å; angles 73.48, 73.48, 60.00 degrees
Closest atoms and distances in Å follow each position.
Atoms (fractional coordinates):
Nd  0.9949  0.9949  0.0153  3 S 2.88, 3 Se 3.00
Pu  0.5055  0.5055  0.4834  3 S 2.80, 3 Se 2.93
Se  0.7528  0.7528  0.7416  3 Pu 2.93, 3 Nd 3.00
S  0.2468  0.2468  0.2596  3 Pu 2.80, 3 Nd 2.88


The following is a DFT calculation (GGA-PBE) of crystalline Nd2SmPuS4 at its relaxed geometry.

Properties
Symmetry   P2/m, No. 10
Energy relative to the elements, uncorrected   -1976 meV/atom
Density   7.29 g/cm³

Cell lengths 4.0114, 6.9766, 6.9900 Å; angles 109.25, 90.00, 90.00 degrees
Closest atoms and distances in Å follow each position.
Atoms (fractional coordinates):
Nd  0.5000  0.0000  0.5000  6 S 2.89
Nd  0.0000  0.5000  0.5000  6 S 2.87
Sm  0.0000  0.0000  0.0000  6 S 2.83
Pu  0.5000  0.5000  0.0000  6 S 2.81
S  0.5000  0.2499  0.2432  1 Pu 2.81, 2 Sm 2.83, 3 Nd 2.87-2.89
S  0.5000  0.7501  0.7568  1 Pu 2.81, 2 Sm 2.83, 3 Nd 2.87-2.89
S  0.0000  0.2554  0.7587  2 Pu 2.81, 1 Sm 2.83, 3 Nd 2.87-2.89
S  0.0000  0.7446  0.2413  2 Pu 2.81, 1 Sm 2.83, 3 Nd 2.87-2.89


The following is a DFT calculation (GGA-PBE) of crystalline Nd2Sm3PuS6 at its relaxed geometry.

Properties
Symmetry   C2/m, No. 12
Energy relative to the elements, uncorrected   -1996 meV/atom
Density   7.08 g/cm³

Cell lengths 4.0036, 8.0764, 8.9899 Å; angles 103.02, 102.87, 90.00 degrees
Closest atoms and distances in Å follow each position.
Atoms (fractional coordinates):
Nd  0.8349  0.6692  0.6698  6 S 2.85-2.88
Nd  0.1651  0.3308  0.3302  6 S 2.85-2.88
Sm  0.5000  0.5000  0.0000  6 S 2.83-2.86
Sm  0.8329  0.1644  0.6657  6 S 2.81-2.86
Sm  0.1671  0.8356  0.3343  6 S 2.81-2.86
Pu  0.5000  0.0000  0.0000  6 S 2.82-2.83
S  0.3346  0.9205  0.6691  3 Sm 2.81-2.86, 1 Pu 2.82, 2 Nd 2.85
S  0.6660  0.5866  0.3320  3 Sm 2.83, 3 Nd 2.87-2.88
S  0.6654  0.0795  0.3309  3 Sm 2.81-2.86, 1 Pu 2.82, 2 Nd 2.85
S  0.9981  0.2459  0.9962  3 Sm 2.82-2.86, 2 Pu 2.83, 1 Nd 2.85
S  0.0019  0.7541  0.0038  3 Sm 2.82-2.86, 2 Pu 2.83, 1 Nd 2.85
S  0.3340  0.4134  0.6680  3 Sm 2.83, 3 Nd 2.87-2.88


The following is a DFT calculation (GGA-PBE) of crystalline NdSm3Pu2S6 at its relaxed geometry.

Properties
Symmetry   C2/m, No. 12
Energy relative to the elements, uncorrected   -1956 meV/atom
Density   7.79 g/cm³

Cell lengths 6.9236, 6.9236, 6.9447 Å; angles 99.55, 99.55, 120.00 degrees
Closest atoms and distances in Å follow each position.
Atoms (fractional coordinates):
Nd  0.0000  0.0000  0.0000  6 S 2.86
Sm  0.1648  0.8352  0.5000  6 S 2.82-2.85
Sm  0.8352  0.1648  0.5000  6 S 2.82-2.85
Sm  0.5000  0.5000  0.5000  6 S 2.80-2.85
Pu  0.3331  0.6669  0.0000  6 S 2.81
Pu  0.6669  0.3331  0.0000  6 S 2.81
S  0.9169  0.5775  0.7514  2 Pu 2.81, 3 Sm 2.82-2.85, 1 Nd 2.86
S  0.7428  0.7428  0.2476  3 Sm 2.80-2.84, 2 Pu 2.81, 1 Nd 2.86
S  0.0831  0.4225  0.2486  2 Pu 2.81, 3 Sm 2.82-2.85, 1 Nd 2.86
S  0.5775  0.9169  0.7514  2 Pu 2.81, 3 Sm 2.82-2.85, 1 Nd 2.86
S  0.2572  0.2572  0.7524  3 Sm 2.80-2.84, 2 Pu 2.81, 1 Nd 2.86
S  0.4225  0.0831  0.2486  2 Pu 2.81, 3 Sm 2.82-2.85, 1 Nd 2.86


The following is a DFT calculation (GGA-PBE) of crystalline SrNdPu2S4 at its relaxed geometry.

Properties
Symmetry   P2/m, No. 10
Energy relative to the elements, uncorrected   -1885 meV/atom
Density   7.42 g/cm³

Cell lengths 4.0505, 7.0436, 7.0491 Å; angles 70.66, 90.00, 90.00 degrees
Closest atoms and distances in Å follow each position.
Atoms (fractional coordinates):
Sr  0.5000  0.5000  0.0000  6 S 2.94
Nd  0.0000  0.5000  0.5000  6 S 2.91
Pu  0.0000  0.0000  0.0000  6 S 2.84-2.85
Pu  0.5000  0.0000  0.5000  6 S 2.81
S  0.0000  0.7644  0.7408  3 Pu 2.81-2.85, 1 Nd 2.91, 2 Sr 2.94
S  0.0000  0.2356  0.2592  3 Pu 2.81-2.85, 1 Nd 2.91, 2 Sr 2.94
S  0.5000  0.7619  0.2495  3 Pu 2.81-2.84, 2 Nd 2.91, 1 Sr 2.94
S  0.5000  0.2381  0.7505  3 Pu 2.81-2.84, 2 Nd 2.91, 1 Sr 2.94


The following is a DFT calculation (GGA-PBE) of crystalline SrNd2PuS4 at its relaxed geometry.

Properties
Symmetry   P2/m, No. 10
Energy relative to the elements, uncorrected   -1956 meV/atom
Density   6.42 g/cm³

Cell lengths 4.0727, 7.1019, 7.0894 Å; angles 70.66, 90.00, 90.00 degrees
Closest atoms and distances in Å follow each position.
Atoms (fractional coordinates):
Sr  0.0000  0.5000  0.5000  6 S 2.92
Nd  0.0000  0.0000  0.0000  6 S 2.86-2.87
Nd  0.5000  0.0000  0.5000  6 S 2.92-2.93
Pu  0.5000  0.5000  0.0000  6 S 2.86-2.87
S  0.0000  0.7462  0.7584  2 Pu 2.86, 3 Nd 2.87-2.93, 1 Sr 2.92
S  0.0000  0.2538  0.2416  2 Pu 2.86, 3 Nd 2.87-2.93, 1 Sr 2.92
S  0.5000  0.7533  0.2426  3 Nd 2.86-2.92, 1 Pu 2.87, 2 Sr 2.92
S  0.5000  0.2467  0.7574  3 Nd 2.86-2.92, 1 Pu 2.87, 2 Sr 2.92


The following is a DFT calculation (GGA-PBE) of crystalline Tb4NdPu3S8 at its relaxed geometry.

Properties
Symmetry   R-3m, No. 166
Energy relative to the elements, uncorrected   -1944 meV/atom
Density   8.38 g/cm³

Cell lengths 7.8945, 7.9297, 7.8945 Å; angles 119.85, 120.00, 90.00 degrees
Closest atoms and distances in Å follow each position.
Atoms (fractional coordinates):
Tb  0.5000  0.0000  0.0000  6 S 2.75
Tb  0.5000  0.0000  0.5000  6 S 2.79
Tb  0.0000  0.0000  0.0000  6 S 2.79
Tb  0.0000  0.0000  0.5000  6 S 2.79
Nd  0.0000  0.5000  0.0000  6 S 2.84
Pu  0.5000  0.5000  0.0000  6 S 2.80-2.81
Pu  0.5000  0.5000  0.5000  6 S 2.80-2.81
Pu  0.0000  0.5000  0.5000  6 S 2.80-2.81
S  0.2540  0.7555  0.0016  3 Tb 2.75-2.79, 2 Pu 2.81, 1 Nd 2.84
S  0.2540  0.7555  0.5079  3 Tb 2.75-2.79, 2 Pu 2.81, 1 Nd 2.84
S  0.2495  0.2486  0.4991  3 Tb 2.79, 3 Pu 2.80
S  0.7476  0.7555  0.0016  3 Tb 2.75-2.79, 2 Pu 2.81, 1 Nd 2.84
S  0.2524  0.2445  0.9984  3 Tb 2.75-2.79, 2 Pu 2.81, 1 Nd 2.84
S  0.7505  0.7514  0.5009  3 Tb 2.79, 3 Pu 2.80
S  0.7460  0.2445  0.4921  3 Tb 2.75-2.79, 2 Pu 2.81, 1 Nd 2.84
S  0.7460  0.2445  0.9984  3 Tb 2.75-2.79, 2 Pu 2.81, 1 Nd 2.84


The following is a DFT calculation (GGA-PBE) of crystalline Tb2NdPuS4 at its relaxed geometry.

Properties
Symmetry   P2/m, No. 10
Energy relative to the elements, uncorrected   -1971 meV/atom
Density   7.82 g/cm³

Cell lengths 3.9537, 6.8835, 6.8938 Å; angles 109.19, 90.00, 90.00 degrees
Closest atoms and distances in Å follow each position.
Atoms (fractional coordinates):
Tb  0.5000  0.0000  0.5000  6 S 2.80
Tb  0.0000  0.5000  0.5000  6 S 2.76
Nd  0.0000  0.0000  0.0000  6 S 2.85-2.86
Pu  0.5000  0.5000  0.0000  6 S 2.82
S  0.5000  0.2572  0.2591  3 Tb 2.76-2.80, 1 Pu 2.82, 2 Nd 2.86
S  0.5000  0.7428  0.7409  3 Tb 2.76-2.80, 1 Pu 2.82, 2 Nd 2.86
S  0.0000  0.2523  0.7444  3 Tb 2.76-2.80, 2 Pu 2.82, 1 Nd 2.85
S  0.0000  0.7477  0.2556  3 Tb 2.76-2.80, 2 Pu 2.82, 1 Nd 2.85


The following is a DFT calculation (GGA-PBE) of crystalline TbNdPu2S4 at its relaxed geometry.

Properties
Symmetry   P2/m, No. 10
Energy relative to the elements, uncorrected   -1910 meV/atom
Density   8.58 g/cm³

Cell lengths 3.9689, 6.8830, 6.9044 Å; angles 109.35, 90.00, 90.00 degrees
Closest atoms and distances in Å follow each position.
Atoms (fractional coordinates):
Tb  0.5000  0.5000  0.0000  6 S 2.80-2.81
Nd  0.0000  0.0000  0.0000  6 S 2.85
Pu  0.5000  0.0000  0.5000  6 S 2.82
Pu  0.0000  0.5000  0.5000  6 S 2.77
S  0.5000  0.2577  0.2566  3 Pu 2.77-2.82, 1 Tb 2.81, 2 Nd 2.85
S  0.5000  0.7423  0.7434  3 Pu 2.77-2.82, 1 Tb 2.81, 2 Nd 2.85
S  0.0000  0.2550  0.7480  3 Pu 2.77-2.82, 2 Tb 2.80, 1 Nd 2.85
S  0.0000  0.7450  0.2520  3 Pu 2.77-2.82, 2 Tb 2.80, 1 Nd 2.85


The following is a DFT calculation (GGA-PBE) of crystalline Tb3NdPu2S6 at its relaxed geometry.

Properties
Symmetry   C2/m, No. 12
Energy relative to the elements, uncorrected   -1954 meV/atom
Density   8.19 g/cm³

Cell lengths 6.8486, 6.8486, 6.8849 Å; angles 99.53, 99.53, 120.02 degrees
Closest atoms and distances in Å follow each position.
Atoms (fractional coordinates):
Tb  0.1648  0.8352  0.5000  6 S 2.76-2.80
Tb  0.8352  0.1648  0.5000  6 S 2.76-2.80
Tb  0.5000  0.5000  0.5000  6 S 2.75-2.80
Nd  0.0000  0.0000  0.0000  6 S 2.85-2.86
Pu  0.3331  0.6669  0.0000  6 S 2.81
Pu  0.6669  0.3331  0.0000  6 S 2.81
S  0.9146  0.5752  0.7442  3 Tb 2.76-2.80, 2 Pu 2.81, 1 Nd 2.86
S  0.7455  0.7455  0.2549  3 Tb 2.75-2.79, 2 Pu 2.81, 1 Nd 2.85
S  0.0854  0.4248  0.2558  3 Tb 2.76-2.80, 2 Pu 2.81, 1 Nd 2.86
S  0.5752  0.9146  0.7442  3 Tb 2.76-2.80, 2 Pu 2.81, 1 Nd 2.86
S  0.2545  0.2545  0.7451  3 Tb 2.75-2.79, 2 Pu 2.81, 1 Nd 2.85
S  0.4248  0.0854  0.2558  3 Tb 2.76-2.80, 2 Pu 2.81, 1 Nd 2.86